1.
! GGA-PBE LiZn13, optimized geometry; values from VASP
! crystal system	cubic
&SYSTEM
  ibrav = 0, nat = 28, ntyp = 2
/
ATOMIC_SPECIES
Li 6.94 Li.upf
Zn 65.41 Zn.upf
ATOMIC_POSITIONS crystal
Li 0.750 0.500 0.250
Li 0.250 0.500 0.750
Zn 0.000 0.000 0.000
Zn 0.699 0.760 0.061
Zn 0.301 0.000 0.061
Zn 0.061 0.362 0.061
Zn 0.561 0.000 0.199
Zn 0.199 0.760 0.199
Zn 0.439 0.638 0.199
Zn 0.939 0.240 0.301
Zn 0.061 0.000 0.301
Zn 0.301 0.362 0.301
Zn 0.801 0.000 0.439
Zn 0.439 0.240 0.439
Zn 0.199 0.638 0.439
Zn 0.500 0.000 0.500
Zn 0.199 0.000 0.561
Zn 0.561 0.760 0.561
Zn 0.801 0.362 0.561
Zn 0.939 0.000 0.699
Zn 0.699 0.638 0.699
Zn 0.061 0.760 0.699
Zn 0.439 0.000 0.801
Zn 0.801 0.240 0.801
Zn 0.561 0.362 0.801
Zn 0.699 0.000 0.939
Zn 0.301 0.240 0.939
Zn 0.939 0.638 0.939
CELL_PARAMETERS angstrom
0.000 6.095 -6.095
-6.095 -6.095 0.000
0.000 6.095 6.095

***

2.
! GGA-PBE Li2Zn, optimized geometry; values from VASP
! crystal system	hexagonal
&SYSTEM
  ibrav = 0, nat = 3, ntyp = 2
/
ATOMIC_SPECIES
Li 6.94 Li.upf
Zn 65.41 Zn.upf
ATOMIC_POSITIONS crystal
Li 0.667 0.333 0.500
Li 0.333 0.667 0.500
Zn 0.000 0.000 0.000
CELL_PARAMETERS angstrom
4.377 0.000 0.000
-2.188 3.790 0.000
0.000 0.000 2.547

***

3.
! GGA-PBE LiZn, optimized geometry; values from VASP
! crystal system	orthorhombic
&SYSTEM
  ibrav = 0, nat = 12, ntyp = 2
/
ATOMIC_SPECIES
Li 6.94 Li.upf
Zn 65.41 Zn.upf
ATOMIC_POSITIONS crystal
Li 0.510 0.171 0.000
Li 0.010 0.996 0.000
Li 0.829 0.175 0.500
Li 0.813 0.501 0.500
Li 0.313 0.666 0.500
Li 0.329 0.992 0.500
Zn 0.018 0.338 0.000
Zn 0.514 0.495 0.000
Zn 0.014 0.671 0.000
Zn 0.518 0.828 0.000
Zn 0.316 0.332 0.500
Zn 0.816 0.835 0.500
CELL_PARAMETERS angstrom
-1.264 -4.644 -0.317
4.155 -1.584 6.634
-3.588 0.810 2.441

***

4.
! GGA-PBE LiZn, optimized geometry; values from VASP
! crystal system	orthorhombic
&SYSTEM
  ibrav = 0, nat = 8, ntyp = 2
/
ATOMIC_SPECIES
Li 6.94 Li.upf
Zn 65.41 Zn.upf
ATOMIC_POSITIONS crystal
Li 0.934 0.500 0.000
Li 0.434 0.750 0.000
Li 0.399 0.000 0.500
Li 0.899 0.250 0.500
Zn 0.931 0.000 0.000
Zn 0.431 0.250 0.000
Zn 0.402 0.500 0.500
Zn 0.902 0.750 0.500
CELL_PARAMETERS angstrom
4.361 0.000 0.000
0.000 5.801 0.000
0.000 0.000 4.321

***

| no. | total energy (eV for the cell shown) |
| --- | --- |
| 1 | -37.9 |
| 2 | -5.4 |
| 3 | -20.8 |
| 4 | -14.3 |